# Li2Cl, relaxed, DFT PBE
data_Li2Cl
_chemical_formula_sum 'Li8 Cl4'
_cell_length_a 13.247
_cell_length_b 3.397
_cell_length_c 6.831
_cell_angle_alpha 90.00
_cell_angle_beta 118.13
_cell_angle_gamma 90.00
_space_group_name_H-M_alt 'P 1'
_space_group_IT_number 1
loop_
_space_group_symop_operation_xyz
'x,y,z'
loop_
_atom_site_label
_atom_site_fract_x
_atom_site_fract_y
_atom_site_fract_z
Li1 0.146 0.000 0.266
Li2 0.151 0.000 0.784
Li3 0.349 0.500 0.216
Li4 0.354 0.500 0.734
Li5 0.646 0.500 0.266
Li6 0.651 0.500 0.784
Li7 0.849 0.000 0.216
Li8 0.854 0.000 0.734
Cl1 0.136 0.500 0.513
Cl2 0.364 0.000 0.487
Cl3 0.636 0.000 0.513
Cl4 0.864 0.500 0.487
# Space group: C2/m (12)
# Total energy, eV per cell: -34.9
# Uncorrected formation energy, meV per atom: -1018